# 1
This record from the Alexandria database describes crystalline KCdSbSe3 at its relaxed geometry. The functional is GGA-PBE.

Cell: 9.369 4.264 10.081 Å, 90.00 102.81 90.00°
Space group P2_1/m (No. 11)
Asymmetric unit:
1 K 0.184 0.250 0.226 (multiplicity 2)
2 Cd 0.097 0.250 0.608 (multiplicity 2)
3 Sb 0.345 0.750 0.872 (multiplicity 2)
4 Se 0.139 0.250 0.880 (multiplicity 2)
5 Se 0.204 0.750 0.500 (multiplicity 2)
6 Se 0.432 0.750 0.137 (multiplicity 2)

Summary:
energy: -41.1 eV/cell
formation energy (no corrections): -0.660 eV per atom
spin magnetization: 0.000 μB/atom



# 2
This record from the Alexandria database describes crystalline K2CdSbSe4 at its relaxed geometry. The functional is GGA-PBE.

Cell: 6.677 14.530 23.770 Å, 90.00 90.00 90.00°
Space group Fddd (No. 70, origin choice 2)
Asymmetric unit:
1 K 0.125 0.125 0.309 (multiplicity 16)
2 Cd 0.125 0.125 0.125 (multiplicity 8)
3 Sb 0.125 0.125 0.625 (multiplicity 8)
4 Se 0.120 0.265 0.818 (multiplicity 32)

Summary:
energy: -208.4 eV/cell
DOS(E_F): 5.25 states/eV/f.u.
formation energy (no corrections): -0.611 eV per atom
spin magnetization: 0.000 μB/atom



# 3
This record from the Alexandria database describes crystalline K2Cd4Sn3Sb at its relaxed geometry. The functional is GGA-PBE.

Cell: 4.854 4.854 12.795 Å, 90.00 90.00 90.00°
Space group P-4m2 (No. 115)
Asymmetric unit:
1 K 0.000 0.500 0.246 (multiplicity 2)
2 Cd 0.000 0.000 0.000 (multiplicity 1)
3 Cd 0.000 0.500 0.646 (multiplicity 2)
4 Cd 0.500 0.500 0.000 (multiplicity 1)
5 Sn 0.000 0.500 0.867 (multiplicity 2)
6 Sn 0.500 0.500 0.500 (multiplicity 1)
7 Sb 0.000 0.000 0.500 (multiplicity 1)

Summary:
energy: -23.7 eV/cell
DOS(E_F): 2.67 states/eV/f.u.
formation energy (no corrections): -0.168 eV per atom
spin magnetization: 0.000 μB/atom



# 4
This record from the Alexandria database describes crystalline KCdSb2Te at its relaxed geometry. The functional is GGA-PBE.

Cell: 5.593 5.593 5.947 Å, 90.00 90.00 90.00°
Space group P4/mmm (No. 123)
Asymmetric unit:
1 K 0.000 0.000 0.000 (multiplicity 1)
2 Cd 0.500 0.500 0.500 (multiplicity 1)
3 Sb 0.000 0.500 0.500 (multiplicity 2)
4 Te 0.500 0.500 0.000 (multiplicity 1)

Summary:
energy: -12.5 eV/cell
DOS(E_F): 4.68 states/eV/f.u.
formation energy (no corrections): 0.175 eV per atom
ΔE to the lowest computed polymorph: 0.0 meV/atom
spin magnetization: 0.001 μB/atom



# 5
This record from the Alexandria database describes crystalline KCdSbTe3 at its relaxed geometry. The functional is GGA-PBE.

Cell: 9.667 4.537 10.641 Å, 90.00 105.82 90.00°
Space group P2_1/m (No. 11)
Asymmetric unit:
1 K 0.201 0.250 0.247 (multiplicity 2)
2 Cd 0.086 0.250 0.612 (multiplicity 2)
3 Sb 0.332 0.750 0.874 (multiplicity 2)
4 Te 0.116 0.250 0.886 (multiplicity 2)
5 Te 0.225 0.750 0.531 (multiplicity 2)
6 Te 0.452 0.750 0.153 (multiplicity 2)

Summary:
energy: -37.1 eV/cell
formation energy (no corrections): -0.499 eV per atom
spin magnetization: 0.000 μB/atom



# 6
This record from the Alexandria database describes crystalline KCd2SbTe at its relaxed geometry. The functional is GGA-PBE.

Cell: 5.669 5.669 6.361 Å, 90.00 90.00 90.00°
Space group P4/mmm (No. 123)
Asymmetric unit:
1 K 0.000 0.000 0.000 (multiplicity 1)
2 Cd 0.000 0.500 0.500 (multiplicity 2)
3 Sb 0.500 0.500 0.000 (multiplicity 1)
4 Te 0.000 0.000 0.500 (multiplicity 1)

Summary:
energy: -9.2 eV/cell
DOS(E_F): 4.16 states/eV/f.u.
formation energy (no corrections): 0.196 eV per atom
spin magnetization: 0.238 μB/atom